DFT (PBE) results for crystalline Re2SiW at its relaxed geometry.

Structure (POSCAR):
```
Re2SiW
1.0
8.933 0.016 0.009
8.491 2.777 0.009
8.491 1.361 2.421
Re Si W
2 1 1
Direct
0.997 0.997 0.997
0.248 0.248 0.248
0.502 0.502 0.502
0.753 0.753 0.753
```

Results
- Electronic total energy: -42.918 eV per cell
- Crystal system: trigonal
- Volume: 14.9 Å³/atom
- Space group: R3m
- Spin magnetization: 0.0 μB per cell
- Raw formation energy: 0.4 eV/f.u.

---

DFT (PBE) results for crystalline Re2SiW at its relaxed geometry.

Structure (POSCAR):
```
Re2SiW
1.0
5.130 0.000 0.005
2.420 4.523 -0.005
-3.338 -2.991 2.496
Re Si W
2 1 1
Direct
0.001 0.001 0.000
0.262 0.762 0.500
0.497 0.497 0.000
0.740 0.240 0.500
```

Results
- Electronic total energy: -43.500 eV per cell
- Crystal system: orthorhombic
- Volume: 14.5 Å³/atom
- Space group: Imm2
- Spin magnetization: 0.0 μB per cell
- Raw formation energy: -0.2 eV/f.u.

---

DFT (PBE) results for crystalline Re2SiW at its relaxed geometry.

Structure (POSCAR):
```
Re2SiW
1.0
4.364 0.000 0.000
2.182 3.779 0.000
2.182 1.260 3.563
Re Si W
2 1 1
Direct
0.000 0.000 0.000
0.750 0.750 0.750
0.500 0.500 0.500
0.250 0.250 0.250
```

Results
- Electronic total energy: -42.467 eV per cell
- Crystal system: cubic
- Volume: 14.7 Å³/atom
- Space group: F-43m
- Spin magnetization: 0.0 μB per cell
- Raw formation energy: 0.8 eV/f.u.

---

DFT (PBE) results for crystalline Re2SiW at its relaxed geometry.

Structure (POSCAR):
```
Re2SiW
1.0
-0.128 1.978 1.948
-0.971 -2.462 0.846
7.666 -2.114 2.649
Re Si W
2 1 1
Direct
0.000 0.000 0.017
0.000 0.000 0.483
0.500 0.500 0.250
0.500 0.500 0.750
```

Results
- Electronic total energy: -42.601 eV per cell
- Crystal system: orthorhombic
- Volume: 14.8 Å³/atom
- Space group: Cmmm
- Spin magnetization: 0.0 μB per cell
- Raw formation energy: 0.7 eV/f.u.

---

DFT (PBE) results for crystalline ReSi2W2 at its relaxed geometry.

Structure (POSCAR):
```
ReSi2W2
1.0
-2.555 -3.322 4.946
2.926 -5.388 -2.107
2.729 0.737 1.905
Re Si W
2 4 4
Direct
0.000 0.000 0.000
0.500 0.500 0.000
0.366 0.866 0.000
0.866 0.634 0.000
0.634 0.134 0.000
0.134 0.366 0.000
0.161 0.661 0.500
0.661 0.839 0.500
0.839 0.339 0.500
0.339 0.161 0.500
```

Results
- Electronic total energy: -98.209 eV per cell
- Crystal system: tetragonal
- Volume: 14.3 Å³/atom
- Offset from the most stable computed form: 0.00 eV/f.u.
- Space group: P4/mbm
- Spin magnetization: 0.0 μB per cell
- Raw formation energy: 0.1 eV/f.u.

---

DFT (PBE) results for crystalline ReSiW3 at its relaxed geometry.

Structure (POSCAR):
```
ReSiW3
1.0
4.423 0.000 0.000
0.000 4.423 0.000
0.000 0.000 4.423
Re Si W
1 1 3
Direct
0.500 0.500 0.500
0.000 0.000 0.000
0.000 0.500 0.000
0.000 0.000 0.500
0.500 0.000 0.000
```

Results
- Electronic total energy: -49.619 eV per cell
- Crystal system: cubic
- Volume: 17.3 Å³/atom
- Offset from the most stable computed form: 0.00 eV/f.u.
- Space group: Pm-3m
- Spin magnetization: 0.0 μB per cell
- Raw formation energy: 7.1 eV/f.u.

---

DFT (PBE) results for crystalline ReSiW at its relaxed geometry.

Structure (POSCAR):
```
ReSiW
1.0
-1.818 -0.576 2.359
3.476 -0.343 2.594
-0.699 13.193 2.683
Si Re W
4 4 4
Direct
0.250 0.750 0.848
0.250 0.750 0.348
0.750 0.250 0.152
0.750 0.250 0.652
0.250 0.250 0.512
0.250 0.250 0.012
0.750 0.750 0.488
0.750 0.750 0.988
0.250 0.750 0.664
0.250 0.750 0.164
0.750 0.250 0.336
0.750 0.250 0.836
```

Results
- Electronic total energy: -123.654 eV per cell
- Crystal system: orthorhombic
- Volume: 14.8 Å³/atom
- Offset from the most stable computed form: 0.20 eV/f.u.
- Space group: Pmmn
- Spin magnetization: 0.0 μB per cell
- Raw formation energy: -0.1 eV/f.u.

---

DFT (PBE) results for crystalline ReSiW at its relaxed geometry.

Structure (POSCAR):
```
ReSiW
1.0
-0.908 -4.264 -4.803
1.708 -3.286 -5.048
-0.039 -2.553 1.156
Re Si W
1 1 1
Direct
0.992 0.992 0.008
0.336 0.336 0.664
0.672 0.672 0.328
```

Results
- Electronic total energy: -30.247 eV per cell
- Crystal system: orthorhombic
- Volume: 14.8 Å³/atom
- Offset from the most stable computed form: 0.87 eV/f.u.
- Space group: Fmm2
- Spin magnetization: 0.0 μB per cell
- Raw formation energy: 0.6 eV/f.u.

---

DFT (PBE) results for crystalline ReSiW at its relaxed geometry.

Structure (POSCAR):
```
ReSiW
1.0
-1.325 2.522 4.377
-0.144 -1.493 5.002
2.740 0.114 -4.444
Re Si W
1 1 1
Direct
0.989 0.989 0.000
0.340 0.340 0.000
0.671 0.671 0.000
```

Results
- Electronic total energy: -31.112 eV per cell
- Crystal system: tetragonal
- Volume: 14.2 Å³/atom
- Offset from the most stable computed form: 0.00 eV/f.u.
- Space group: I4mm
- Spin magnetization: 0.0 μB per cell
- Raw formation energy: -0.3 eV/f.u.

---

DFT (PBE) results for crystalline ReSi4W at its relaxed geometry.

Structure (POSCAR):
```
ReSi4W
1.0
0.000 3.402 3.402
3.402 0.000 3.402
3.402 3.402 0.000
Re Si W
1 4 1
Direct
0.000 0.000 0.000
0.875 0.375 0.375
0.375 0.375 0.875
0.375 0.875 0.375
0.375 0.375 0.375
0.750 0.750 0.750
```

Results
- Electronic total energy: -43.616 eV per cell
- Crystal system: cubic
- Volume: 13.1 Å³/atom
- Offset from the most stable computed form: 5.20 eV/f.u.
- Space group: F-43m
- Spin magnetization: 0.0 μB per cell
- Raw formation energy: 3.5 eV/f.u.

---

DFT (PBE) results for crystalline Re2SiW at its relaxed geometry.

Structure (POSCAR):
```
Re2SiW
1.0
4.183 0.000 0.000
2.092 3.623 0.000
2.092 1.208 4.277
Re Si W
2 1 1
Direct
0.070 0.070 0.789
0.263 0.263 0.212
0.682 0.682 0.954
0.485 0.485 0.545
```

Results
- Electronic total energy: -42.403 eV per cell
- Crystal system: trigonal
- Volume: 16.2 Å³/atom
- Space group: R3m
- Spin magnetization: 0.0 μB per cell
- Raw formation energy: 0.9 eV/f.u.

---

DFT (PBE) results for crystalline Re2SiW at its relaxed geometry.

Structure (POSCAR):
```
Re2SiW
1.0
-2.206 -0.696 2.026
-1.589 -1.420 -2.218
2.860 -5.245 1.311
Re Si W
2 1 1
Direct
0.000 0.000 0.014
0.000 0.000 0.486
0.500 0.500 0.250
0.500 0.500 0.750
```

Results
- Electronic total energy: -43.595 eV per cell
- Crystal system: tetragonal
- Volume: 14.5 Å³/atom
- Space group: P4/mmm
- Spin magnetization: 0.0 μB per cell
- Raw formation energy: -0.3 eV/f.u.

---

DFT (PBE) results for crystalline Re2SiW at its relaxed geometry.

Structure (POSCAR):
```
Re2SiW
1.0
-0.738 1.269 -2.332
-0.128 -2.749 -0.138
-8.110 0.243 2.697
Re Si W
2 1 1
Direct
0.000 0.000 0.001
0.500 0.500 0.264
0.000 0.000 0.496
0.500 0.500 0.738
```

Results
- Electronic total energy: -42.357 eV per cell
- Crystal system: orthorhombic
- Volume: 14.8 Å³/atom
- Space group: Cmm2
- Spin magnetization: 0.0 μB per cell
- Raw formation energy: 0.9 eV/f.u.

---

DFT (PBE) results for crystalline Re2SiW at its relaxed geometry.

Structure (POSCAR):
```
Re2SiW
1.0
-4.172 -0.131 -3.004
-4.388 -1.664 2.103
3.766 3.499 0.153
Re Si W
2 1 1
Direct
0.019 0.019 0.000
0.481 0.481 0.000
0.250 0.750 0.500
0.750 0.250 0.500
```

Results
- Electronic total energy: -43.410 eV per cell
- Crystal system: orthorhombic
- Volume: 14.5 Å³/atom
- Space group: Immm
- Spin magnetization: 0.0 μB per cell
- Raw formation energy: -0.1 eV/f.u.

---

DFT (PBE) results for crystalline Re2SiW at its relaxed geometry.

Structure (POSCAR):
```
Re2SiW
1.0
4.346 0.000 0.000
0.000 2.768 -0.051
0.000 0.477 4.914
Re Si W
2 1 1
Direct
0.000 0.051 0.005
0.000 0.449 0.495
0.500 0.250 0.250
0.500 0.750 0.750
```

Results
- Electronic total energy: -42.807 eV per cell
- Crystal system: monoclinic
- Volume: 14.8 Å³/atom
- Space group: P2/m
- Spin magnetization: 0.0 μB per cell
- Raw formation energy: 0.5 eV/f.u.

---

DFT (PBE) results for crystalline Re2SiW at its relaxed geometry.

Structure (POSCAR):
```
Re2SiW
1.0
-2.020 0.270 -2.039
0.209 -2.816 -0.580
-4.952 -1.342 4.728
Re Si W
2 1 1
Direct
0.000 0.000 0.011
0.500 0.500 0.268
0.000 0.000 0.490
0.500 0.500 0.732
```

Results
- Electronic total energy: -43.333 eV per cell
- Crystal system: tetragonal
- Volume: 14.5 Å³/atom
- Space group: P4mm
- Spin magnetization: 0.0 μB per cell
- Raw formation energy: -0.1 eV/f.u.

---

DFT (PBE) results for crystalline Re2SiW at its relaxed geometry.

Structure (POSCAR):
```
Re2SiW
1.0
-1.372 1.245 2.222
2.201 -2.075 2.521
3.546 3.820 0.049
Re Si W
2 1 1
Direct
0.000 0.000 0.012
0.000 0.000 0.488
0.500 0.500 0.250
0.500 0.500 0.750
```

Results
- Electronic total energy: -42.907 eV per cell
- Crystal system: orthorhombic
- Volume: 14.8 Å³/atom
- Space group: Pmmm
- Spin magnetization: 0.0 μB per cell
- Raw formation energy: 0.4 eV/f.u.

---

DFT (PBE) results for crystalline Re2SiW at its relaxed geometry.

Structure (POSCAR):
```
Re2SiW
1.0
-0.568 1.547 2.528
-4.460 -1.028 -0.373
0.620 -3.523 2.295
Re Si W
2 1 1
Direct
0.000 0.000 0.000
0.500 0.500 0.000
0.500 0.000 0.500
0.000 0.500 0.500
```

Results
- Electronic total energy: -42.628 eV per cell
- Crystal system: orthorhombic
- Volume: 14.7 Å³/atom
- Space group: Pmmm
- Spin magnetization: 0.0 μB per cell
- Raw formation energy: 0.6 eV/f.u.

---

DFT (PBE) results for crystalline ReSi3W at its relaxed geometry.

Structure (POSCAR):
```
ReSi3W
1.0
4.640 0.000 0.000
0.000 4.640 0.000
0.000 0.000 4.640
Re Si W
1 3 1
Direct
0.000 0.000 0.000
0.000 0.500 0.000
0.000 0.000 0.500
0.500 0.000 0.000
0.500 0.500 0.500
```

Results
- Electronic total energy: -34.741 eV per cell
- Crystal system: cubic
- Volume: 20.0 Å³/atom
- Offset from the most stable computed form: 0.00 eV/f.u.
- Space group: Pm-3m
- Spin magnetization: 4.2 μB per cell
- Raw formation energy: 6.9 eV/f.u.

---

DFT (PBE) results for crystalline ReSi4W at its relaxed geometry.

Structure (POSCAR):
```
ReSi4W
1.0
3.212 0.000 0.000
0.000 3.212 0.000
0.000 0.000 7.847
Re Si W
1 4 1
Direct
0.000 0.000 0.000
0.500 0.500 0.166
0.000 0.000 0.667
0.000 0.000 0.333
0.500 0.500 0.834
0.500 0.500 0.500
```

Results
- Electronic total energy: -48.812 eV per cell
- Crystal system: tetragonal
- Volume: 13.5 Å³/atom
- Offset from the most stable computed form: 0.00 eV/f.u.
- Space group: P4/mmm
- Spin magnetization: 0.0 μB per cell
- Raw formation energy: -1.7 eV/f.u.

---

DFT (PBE) results for crystalline ReSi2W2 at its relaxed geometry.

Structure (POSCAR):
```
ReSi2W2
1.0
-2.277 -3.012 0.649
1.260 -1.647 -3.221
3.459 -4.730 1.493
Re Si W
1 2 2
Direct
0.000 0.000 0.000
0.399 0.399 0.202
0.601 0.601 0.798
0.750 0.250 0.500
0.250 0.750 0.500
```

Results
- Electronic total energy: -45.617 eV per cell
- Crystal system: tetragonal
- Volume: 15.9 Å³/atom
- Offset from the most stable computed form: 3.49 eV/f.u.
- Space group: I4/mmm
- Spin magnetization: 1.7 μB per cell
- Raw formation energy: 3.6 eV/f.u.

---

DFT (PBE) results for crystalline Re2SiW at its relaxed geometry.

Structure (POSCAR):
```
Re2SiW
1.0
4.583 -0.004 0.008
3.703 2.700 0.008
0.558 0.182 4.796
Re Si W
2 1 1
Direct
0.999 0.999 0.991
0.501 0.501 0.509
0.750 0.750 0.750
0.250 0.250 0.250
```

Results
- Electronic total energy: -42.748 eV per cell
- Crystal system: monoclinic
- Volume: 14.9 Å³/atom
- Space group: C2/m
- Spin magnetization: 0.0 μB per cell
- Raw formation energy: 0.5 eV/f.u.

---

DFT (PBE) results for crystalline ReSiW at its relaxed geometry.

Structure (POSCAR):
```
ReSiW
1.0
-3.219 2.730 0.195
-0.636 -4.083 0.884
0.595 0.505 2.760
Re Si W
1 1 1
Direct
0.000 0.000 0.167
0.667 0.333 0.166
0.333 0.667 0.667
```

Results
- Electronic total energy: -30.924 eV per cell
- Crystal system: hexagonal
- Volume: 14.8 Å³/atom
- Offset from the most stable computed form: 0.19 eV/f.u.
- Space group: P-6m2
- Spin magnetization: 0.0 μB per cell
- Raw formation energy: -0.1 eV/f.u.

---

DFT (PBE) results for crystalline Re2SiW at its relaxed geometry.

Structure (POSCAR):
```
Re2SiW
1.0
3.805 0.000 0.000
0.000 3.805 0.000
1.903 1.903 9.010
Re Si W
4 2 2
Direct
0.580 0.125 0.250
0.170 0.625 0.250
0.375 0.420 0.750
0.875 0.830 0.750
0.500 0.500 0.000
0.250 0.750 0.500
0.000 0.000 0.000
0.750 0.250 0.500
```

Results
- Electronic total energy: -81.576 eV per cell
- Crystal system: tetragonal
- Volume: 16.3 Å³/atom
- Space group: I-42d
- Spin magnetization: 0.0 μB per cell
- Raw formation energy: 2.5 eV/f.u.

---

DFT (PBE) results for crystalline Re2Si4W at its relaxed geometry.

Structure (POSCAR):
```
Re2Si4W
1.0
-4.056 1.780 1.181
-1.497 -4.176 1.154
-0.744 -0.350 6.872
Re Si W
2 4 1
Direct
0.397 0.397 0.207
0.603 0.603 0.793
0.205 0.205 0.591
0.795 0.795 0.409
0.000 0.500 0.000
0.500 0.000 0.000
0.000 0.000 0.000
```

Results
- Electronic total energy: -52.992 eV per cell
- Crystal system: tetragonal
- Volume: 18.4 Å³/atom
- Space group: I4/mmm
- Spin magnetization: 0.0 μB per cell
- Raw formation energy: 6.5 eV/f.u.

---

DFT (PBE) results for crystalline Re2SiW at its relaxed geometry.

Structure (POSCAR):
```
Re2SiW
1.0
-4.315 2.399 -0.545
-4.044 -2.488 1.460
4.435 1.056 1.973
Re Si W
2 1 1
Direct
0.000 0.000 0.000
0.250 0.750 0.500
0.500 0.500 0.000
0.750 0.250 0.500
```

Results
- Electronic total energy: -42.708 eV per cell
- Crystal system: tetragonal
- Volume: 14.7 Å³/atom
- Space group: I-4m2
- Spin magnetization: 0.0 μB per cell
- Raw formation energy: 0.6 eV/f.u.

---

DFT (PBE) results for crystalline ReSiW at its relaxed geometry.

Structure (POSCAR):
```
ReSiW
1.0
-0.618 2.697 -0.725
-1.613 -1.369 1.925
3.713 2.086 4.594
Re Si W
1 1 1
Direct
0.000 0.000 0.009
0.667 0.333 0.327
0.333 0.667 0.665
```

Results
- Electronic total energy: -30.547 eV per cell
- Crystal system: trigonal
- Volume: 14.8 Å³/atom
- Offset from the most stable computed form: 0.57 eV/f.u.
- Space group: P3m1
- Spin magnetization: 0.0 μB per cell
- Raw formation energy: 0.3 eV/f.u.

---

DFT (PBE) results for crystalline ReSiW4 at its relaxed geometry.

Structure (POSCAR):
```
ReSiW4
1.0
-4.810 -0.255 1.972
-4.106 -0.287 -3.185
-2.723 -4.422 -0.344
Re Si W
1 1 4
Direct
0.750 0.750 0.750
0.000 0.000 0.000
0.878 0.374 0.374
0.374 0.374 0.878
0.374 0.878 0.374
0.374 0.374 0.374
```

Results
- Electronic total energy: -65.466 eV per cell
- Crystal system: cubic
- Volume: 16.6 Å³/atom
- Space group: F-43m
- Spin magnetization: 0.0 μB per cell
- Raw formation energy: 4.2 eV/f.u.

---

DFT (PBE) results for crystalline ReSiW3 at its relaxed geometry.

Structure (POSCAR):
```
ReSiW3
1.0
4.758 0.000 0.000
0.000 4.758 0.000
0.000 0.000 4.758
Re Si W
1 1 3
Direct
0.000 0.000 0.000
0.500 0.500 0.500
0.000 0.500 0.000
0.000 0.000 0.500
0.500 0.000 0.000
```

Results
- Electronic total energy: -45.722 eV per cell
- Crystal system: cubic
- Volume: 21.5 Å³/atom
- Offset from the most stable computed form: 3.90 eV/f.u.
- Space group: Pm-3m
- Spin magnetization: 0.0 μB per cell
- Raw formation energy: 11.0 eV/f.u.